KAg2Rh (PBE, optimized geometry); energy relative to the lowest polymorph listed for this composition = 0.41 eV per formula unit; N(E_F) = 1.44 states/eV/cell; size of the total moment = 0.79 μB/cell
1.0
3.147 -4.391 0.000
3.147 4.391 0.000
-0.008 0.000 2.852
K Ag Rh
1 2 1
direct
0.000 0.000 0.000
0.000 0.500 0.500
0.500 0.000 0.500
0.500 0.500 0.000

=====

SrLi2ZnB (PBE, optimized geometry); electronic total energy = -0.0336 Ha/atom; N(E_F) = 4.85 states/eV/cell; size of the total moment = 0.00 μB/cell
1.0
6.144 0.000 0.000
0.000 6.144 0.000
0.000 0.000 5.853
Sr Li Zn B
1 2 1 1
direct
0.000 0.000 0.000
0.000 0.500 0.000
0.500 0.000 0.000
0.000 0.000 0.500
0.500 0.500 0.500

=====

TeRhCl2 (PBE, optimized geometry); ΔE_f (raw) = -0.3367 eV per atom; energy relative to the lowest polymorph listed for this composition = 0.30 eV per formula unit; N(E_F) = 0.69 states/eV/cell; size of the total moment = 0.00 μB/cell
1.0
5.252 0.000 0.000
0.000 3.643 0.000
-1.301 0.000 5.134
Te Rh Cl
1 1 2
direct
0.000 0.000 0.000
0.810 0.500 0.687
0.341 0.500 0.708
0.690 0.000 0.333

=====

K2Sr2Te (PBE, optimized geometry); ΔE_f (raw) = -0.4244 eV per atom; N(E_F) = 7.94 states/eV/cell; size of the total moment = 0.00 μB/cell
1.0
8.771 0.000 0.000
0.000 8.771 0.000
0.000 0.000 7.535
K Sr Te
4 4 2
direct
0.164 0.336 0.000
0.336 0.836 0.000
0.664 0.164 0.000
0.836 0.664 0.000
0.170 0.670 0.500
0.330 0.170 0.500
0.670 0.830 0.500
0.830 0.330 0.500
0.000 0.000 0.500
0.500 0.500 0.500

=====

NiSb2TeI (PBE, optimized geometry); ΔE_f (raw) = 1.2980 eV per atom; energy relative to the lowest polymorph listed for this composition = 4.98 eV per formula unit; N(E_F) = 13.54 states/eV/cell; size of the total moment = 1.79 μB/cell
1.0
5.801 0.000 0.000
0.000 5.801 0.000
0.000 0.000 5.868
Ni Sb Te I
1 2 1 1
direct
0.000 0.000 0.000
0.000 0.500 0.500
0.500 0.000 0.500
0.500 0.500 0.500
0.500 0.500 0.000

=====

Pr2HoI (PBE, optimized geometry); ΔE_f (raw) = -0.3518 eV per atom; energy relative to the lowest polymorph listed for this composition = 0.18 eV per formula unit; N(E_F) = 3.77 states/eV/cell; size of the total moment = 0.00 μB/cell
1.0
3.725 0.000 0.000
0.000 3.725 0.000
0.000 0.000 9.756
Pr Ho I
2 1 1
direct
0.000 0.000 0.243
0.000 0.000 0.757
0.500 0.500 0.500
0.500 0.500 0.000

=====

Mg2BBr (PBE, optimized geometry); ΔE_f (raw) = 0.6687 eV per atom; energy relative to the lowest polymorph listed for this composition = 1.83 eV per formula unit; N(E_F) = 1.86 states/eV/cell; size of the total moment = 1.85 μB/cell
1.0
0.000 3.344 3.344
3.344 0.000 3.344
3.344 3.344 0.000
Mg B Br
2 1 1
direct
0.250 0.250 0.250
0.750 0.750 0.750
0.000 0.000 0.000
0.500 0.500 0.500

=====

K2NiWS4 (PBE, optimized geometry); ΔE_f (raw) = -0.7634 eV per atom; N(E_F) = 2.43 states/eV/cell; size of the total moment = 0.00 μB/cell
1.0
-3.413 3.413 4.495
3.413 -3.413 4.495
3.413 3.413 -4.495
K Ni W S
2 1 1 4
direct
0.000 0.000 0.000
0.750 0.250 0.500
0.250 0.750 0.500
0.500 0.500 0.000
0.233 0.606 0.112
0.394 0.506 0.627
0.494 0.121 0.888
0.879 0.767 0.373